Here is ZnCoIrPb after structural relaxation from the Open Quantum Materials Database. Energies are from PBE.

Cell lengths 4.465, 4.465, 4.465 Å; angles 60.00, 60.00, 60.00 degrees
Positions (direct):
Zn (0.000, 0.000, 0.000)
Co (0.750, 0.750, 0.750)
Ir (0.250, 0.250, 0.250)
Pb (0.500, 0.500, 0.500)

The distance to the lowest polymorph of the same formula is 0 meV/atom. Its space group is F-43m. The theoretical density is 13.82 Mg/m³.